Entry 1:
A plane-wave DFT calculation with PBE was carried out for BaPaCu2S4 after structural relaxation.

POSCAR file:
```
BaPaCu2S4
1.0
-0.9484 -0.8386 6.3608
-5.8495 -1.3976 2.2499
0.0153 -5.9015 2.5306
S Cu Pa Ba
4 2 1 1
Direct
0.5520 0.5027 0.8814
0.9361 0.4973 0.1186
0.0639 0.8814 0.5027
0.4480 0.1186 0.4973
0.8438 0.6562 0.6562
0.1562 0.3438 0.3438
0.5000 0.5000 0.5000
0.0000 0.0000 0.0000
```

Values from the calculation:
Space group: I222 (23)
E_form (uncorrected): -1.0682 eV per atom

---

Entry 2:
A plane-wave DFT calculation with PBE was carried out for Tb2Nd6YTm after structural relaxation.

POSCAR file:
```
Tb2Nd6YTm
1.0
9.1812 -2.0905 -2.1695
0.8712 8.7041 -2.0829
0.8712 -2.4041 8.6209
Nd Y Tb Tm
12 2 4 2
Direct
0.0534 0.1211 0.7620
0.1176 0.7099 0.4941
0.9466 0.8789 0.2380
0.1892 0.5654 0.0102
0.3824 0.5059 0.2901
0.6176 0.4941 0.7099
0.5534 0.7620 0.1211
0.6892 0.0102 0.5654
0.8108 0.4346 0.9898
0.8824 0.2901 0.5059
0.3108 0.9898 0.4346
0.4466 0.2380 0.8789
0.2500 0.9744 0.0256
0.7500 0.0256 0.9744
0.4550 0.7992 0.6978
0.9550 0.6978 0.7992
0.5450 0.2008 0.3022
0.0450 0.3022 0.2008
0.7500 0.5881 0.4119
0.2500 0.4119 0.5881
```

Values from the calculation:
Space group: C2/c (15)
Formation enthalpy at 0 K: 0.113 eV/atom

---

Entry 3:
A plane-wave DFT calculation with PBE was carried out for HfIBrO2 after structural relaxation.

POSCAR file:
```
HfIBrO2
1.0
4.1139 0.0000 0.0000
0.0000 4.1139 0.0000
0.0000 0.0000 6.3328
I O Br Hf
1 2 1 1
Direct
0.0000 0.0000 0.5000
0.5000 0.0000 0.0000
0.0000 0.5000 0.0000
0.5000 0.5000 0.5000
0.0000 0.0000 0.0000
```

Values from the calculation:
Space group: P4/mmm (123)
Energy relative to the lowest polymorph listed for this composition: 0.000 eV per atom
E_form (uncorrected): -1.4224 eV per atom

---

Entry 4:
A plane-wave DFT calculation with PBE was carried out for TlBr3O after structural relaxation.

POSCAR file:
```
TlBr3O
1.0
7.2368 0.0000 0.0000
0.0000 8.3711 -0.7635
0.0000 3.9199 10.3194
Br O Tl
12 4 4
Direct
0.6825 0.5529 0.7224
0.0888 0.7763 0.5068
0.8175 0.5529 0.2224
0.5888 0.2237 0.9932
0.9301 0.9145 0.8542
0.9112 0.2237 0.4932
0.4301 0.0855 0.6458
0.1825 0.4471 0.7776
0.5699 0.9145 0.3542
0.4112 0.7763 0.0068
0.0699 0.0855 0.1458
0.3175 0.4471 0.2776
0.8918 0.4753 0.6772
0.6082 0.4753 0.1772
0.3918 0.5247 0.8228
0.1082 0.5247 0.3228
0.7674 0.9102 0.6034
0.2674 0.0898 0.8966
0.2326 0.0898 0.3966
0.7326 0.9102 0.1034
```

Values from the calculation:
Space group: P2_1/c (14)
Energy relative to the lowest polymorph listed for this composition: 0.000 eV per atom
E_form (uncorrected): -0.1425 eV per atom

---

Entry 5:
A plane-wave DFT calculation with PBE was carried out for V2Cr after structural relaxation.

POSCAR file:
```
V2Cr
1.0
-2.5611 -0.5254 4.0588
-3.0361 -3.7238 0.4736
1.0372 -3.5860 3.0617
V Cr
4 2
Direct
0.6250 0.6250 0.6250
0.6250 0.1250 0.6250
0.6250 0.6250 0.1250
0.1250 0.6250 0.6250
0.2500 0.2500 0.2500
0.0000 0.0000 0.0000
```

Values from the calculation:
Space group: Fd-3m (227)
Formation enthalpy at 0 K: 0.270 eV/atom

---

Entry 6:
A plane-wave DFT calculation with PBE was carried out for Rb2NaF after structural relaxation.

POSCAR file:
```
Rb2NaF
1.0
4.2060 0.0000 0.0000
2.1030 3.6425 0.0000
2.1030 1.2142 10.5374
Na F Rb
1 1 2
Direct
0.5000 0.5000 0.5000
0.0000 0.0000 0.0000
0.2815 0.2815 0.1556
0.7185 0.7185 0.8444
```

Values from the calculation:
Space group: R-3m (166)
Energy relative to the lowest polymorph listed for this composition: 0.000 eV per atom
E_form (uncorrected): -1.2519 eV per atom

---

Entry 7:
A plane-wave DFT calculation with PBE was carried out for KMnCl3 after structural relaxation.

POSCAR file:
```
KMnCl3
1.0
7.0773 0.0529 -0.0067
3.4085 6.4428 -0.0701
0.0269 1.5777 6.4563
K Mn Cl
2 2 6
Direct
0.7464 0.1963 0.6289
0.0795 0.5311 0.0786
0.4157 0.8631 0.4990
0.4106 0.8641 0.2102
0.6268 0.5297 0.1835
0.0704 0.9763 0.0929
0.1992 0.1977 0.5247
0.7561 0.7508 0.6157
0.3101 0.6314 0.6491
0.5162 0.0956 0.0596
```

Values from the calculation:
Space group: P1 (1)
E_form (uncorrected): -1.1914 eV per atom

---

Entry 8:
A plane-wave DFT calculation with PBE was carried out for PaSnH6Os2 after structural relaxation.

POSCAR file:
```
PaSnH6Os2
1.0
-1.9275 -4.2079 -3.9996
3.9579 -2.8643 3.6810
-4.7786 0.4913 3.5757
H Os Sn Pa
12 4 2 2
Direct
0.5702 0.0264 0.3906
0.6945 0.4538 0.6792
0.0264 0.5702 0.8906
0.9736 0.4298 0.1094
0.8189 0.8202 0.4294
0.4538 0.6945 0.1792
0.8202 0.8189 0.9294
0.3055 0.5462 0.3208
0.1798 0.1811 0.0706
0.5462 0.3055 0.8208
0.1811 0.1798 0.5706
0.4298 0.9736 0.6094
0.0830 0.3235 0.3384
0.3235 0.0830 0.8384
0.6765 0.9170 0.1616
0.9170 0.6765 0.6616
0.3701 0.6299 0.7500
0.6299 0.3701 0.2500
0.8646 0.1354 0.7500
0.1354 0.8646 0.2500
```

Values from the calculation:
Space group: C2/c (15)
VASP energy: -5.611 eV/atom

---

| no. | density (Mg/m³) | size of the total moment (μB/atom) |
| --- | --- | --- |
| 1 | 5.2 | 0.125 |
| 2 | 7.0 | 0.000 |
| 3 | 6.5 | 0.000 |
| 4 | 4.7 | 0.000 |
| 5 | 6.4 | 0.020 |
| 6 | 2.2 | 0.000 |
| 7 | 2.3 | 0.400 |
| 8 | 12.0 | 0.000 |